[1]
Here is a relaxed HfMg2Cl2 crystal from Alexandria via LeMat-Bulk. Energies are from PBE.

The formation energy (no corrections) comes out at 0.12 eV per formula unit. The magnetization is 0.0 μB/cell.

abc: 8.471 8.471 3.210
angles: 90.00 90.00 90.00
Atoms (fractional coordinates):
Hf1 0.000 0.000 0.000
Hf2 0.500 0.500 0.000
Mg1 0.146 0.354 0.000
Mg2 0.354 0.854 0.000
Mg3 0.646 0.146 0.000
Mg4 0.854 0.646 0.000
Cl1 0.131 0.631 0.500
Cl2 0.369 0.131 0.500
Cl3 0.631 0.869 0.500
Cl4 0.869 0.369 0.500

[2]
Here is a relaxed LaThCd4 crystal from Alexandria via LeMat-Bulk. Energies are from PBE.

The magnetization is 0.0 μB/cell. The formation energy is -0.0856 eV/atom.

abc: 9.276 9.276 9.276
angles: 152.31 152.31 39.56
Atoms (fractional coordinates):
La1 0.000 0.000 0.000
Th1 0.750 0.250 0.500
Cd1 0.171 0.671 0.500
Cd2 0.329 0.829 0.500
Cd3 0.419 0.419 0.000
Cd4 0.581 0.581 0.000

[3]
Here is a relaxed Pm2NiGe crystal from Alexandria via LeMat-Bulk. Energies are from PBE.

The magnetization is 0.0 μB/cell. The formation energy is 0.2402 eV/atom.

abc: 10.126 10.126 10.126
angles: 19.09 19.09 19.09
Atoms (fractional coordinates):
Pm1 0.086 0.086 0.086
Pm2 0.914 0.914 0.914
Ni1 0.000 0.000 0.000
Ge1 0.500 0.500 0.500

[4]
Here is a relaxed TbSiSe crystal from Alexandria via LeMat-Bulk. Energies are from PBE.

The formation energy (no corrections) comes out at -3.12 eV per formula unit. The magnetization is 0.0 μB/cell.

abc: 11.851 11.851 11.851
angles: 19.58 19.58 19.58
Atoms (fractional coordinates):
Tb1 0.069 0.069 0.069
Tb2 0.931 0.931 0.931
Si1 0.343 0.343 0.343
Si2 0.657 0.657 0.657
Se1 0.222 0.222 0.222
Se2 0.778 0.778 0.778

[5]
Here is a relaxed Sc2SbOs crystal from Alexandria via LeMat-Bulk. Energies are from PBE.

The formation energy (no corrections) comes out at -1.14 eV per formula unit. The magnetization is 0.0 μB/cell.

abc: 9.005 9.005 9.005
angles: 21.10 21.10 21.10
Atoms (fractional coordinates):
Sc1 0.238 0.238 0.238
Sc2 0.762 0.762 0.762
Sb1 0.000 0.000 0.000
Os1 0.500 0.500 0.500

[6]
Here is a relaxed DyReB4 crystal from Alexandria via LeMat-Bulk. Energies are from PBE.

The magnetization is 0.0 μB/cell. The formation energy is -0.5898 eV/atom.

abc: 5.976 11.563 3.618
angles: 90.00 90.00 90.00
Atoms (fractional coordinates):
Dy1 0.127 0.150 0.000
Dy2 0.373 0.650 0.000
Dy3 0.627 0.350 0.000
Dy4 0.873 0.850 0.000
Re1 0.133 0.412 0.000
Re2 0.367 0.912 0.000
Re3 0.633 0.088 0.000
Re4 0.867 0.588 0.000
B1 0.023 0.692 0.500
B2 0.114 0.547 0.500
B3 0.136 0.969 0.500
B4 0.213 0.815 0.500
B5 0.287 0.315 0.500
B6 0.364 0.469 0.500
B7 0.386 0.047 0.500
B8 0.477 0.192 0.500
B9 0.523 0.808 0.500
B10 0.614 0.953 0.500
B11 0.636 0.531 0.500
B12 0.713 0.685 0.500
B13 0.787 0.185 0.500
B14 0.864 0.031 0.500
B15 0.886 0.453 0.500
B16 0.977 0.308 0.500

magnetization of number 4 (TbSiSe)? 0.0 μB/cell

Number 5 is which compound? Sc2SbOs